This record from the Alexandria database describes a geometry-optimized Pm2TeH structure. The functional is GGA-PBE.

The structure in POSCAR format:
```
Pm2TeH
1.0
1.978 1.142 7.165
-1.978 1.142 7.165
0.000 -2.284 7.165
Pm Te H
2 1 1
Direct
0.232 0.232 0.232
0.768 0.768 0.768
0.000 0.000 0.000
0.500 0.500 0.500
```

## Properties
**DFT total energy**: -4.774 eV/atom
**Magnetization**: 0.0 μB per formula unit
**Excess energy over the best structure of this formula in the dataset**: 123 meV per atom
**Density of states at the Fermi level**: 0.700 states/eV/atom


This record from the Alexandria database describes a geometry-optimized Bi3PtN structure. The functional is GGA-PBE.

The structure in POSCAR format:
```
Bi3PtN
1.0
4.862 0.000 0.000
-2.403 6.359 0.000
-0.808 -1.656 7.932
Bi Pt N
6 2 2
Direct
0.029 0.274 0.086
0.228 0.379 0.593
0.422 0.024 0.310
0.578 0.976 0.690
0.772 0.621 0.407
0.971 0.726 0.914
0.462 0.674 0.102
0.538 0.326 0.898
0.134 0.688 0.656
0.866 0.312 0.344
```

## Properties
**DFT total energy**: -4.952 eV/atom
**Magnetization**: 0.0 μB per formula unit
**Excess energy over the best structure of this formula in the dataset**: 0 meV per atom
**Density of states at the Fermi level**: 0.493 states/eV/atom


This record from the Alexandria database describes a geometry-optimized Y5TmCd6 structure. The functional is GGA-PBE.

The structure in POSCAR format:
```
Y5TmCd6
1.0
2.641 -7.942 0.000
2.641 7.942 0.000
0.000 0.000 7.493
Y Tm Cd
5 1 6
Direct
0.000 0.000 0.000
0.332 0.668 0.000
0.334 0.666 0.500
0.666 0.334 0.500
0.668 0.332 0.000
0.000 0.000 0.500
0.166 0.834 0.252
0.166 0.834 0.748
0.500 0.500 0.252
0.500 0.500 0.748
0.834 0.166 0.252
0.834 0.166 0.748
```

## Properties
**DFT total energy**: -3.872 eV/atom
**Calculated formation energy**: -0.348 eV per atom
**Magnetization**: 0.0 μB per formula unit
**Density of states at the Fermi level**: 0.994 states/eV/atom


Q: What is the density of states at the Fermi level in the third record?
A: 0.994 states/eV/atom


Q: Look up the density of states at the Fermi level of the third one.
A: 0.994 states/eV/atom